Below is a relaxed structure of Sr5V3ClO12, with properties calculated at the PBE+U level. Values from VASP.

Calculated values
The value obtained for the volume is 16.577 Å³/atom. The calculation puts the total energy at -7.01 eV per atom. As for the space group: P6_3/m, No. 176.

Structure (Quantum ESPRESSO input):
```
&SYSTEM
  ibrav = 0, nat = 42, ntyp = 4
/
ATOMIC_SPECIES
Sr 87.62 Sr.upf
V 50.94 V.upf
Cl 35.45 Cl.upf
O 16.00 O.upf
ATOMIC_POSITIONS angstrom
Sr -3.816 6.878 1.817
Sr 1.211 2.366 1.817
Sr 2.654 0.134 5.450
Sr 0.000 6.073 3.658
Sr 0.000 6.073 7.242
Sr 5.259 3.037 0.025
Sr 5.259 3.037 3.609
Sr 2.605 8.975 1.817
Sr 4.049 6.744 5.450
Sr 9.075 2.231 5.450
V -1.815 3.738 1.817
V -1.115 8.813 1.817
V 2.330 3.441 5.450
V 2.930 5.669 1.817
V 6.374 0.297 5.450
V 7.075 5.372 5.450
Cl 0.000 0.000 0.000
Cl 0.000 0.000 3.633
O -0.896 3.213 0.438
O -0.896 3.213 3.195
O -1.759 5.496 1.817
O -1.819 5.980 5.450
O -2.029 8.279 0.438
O -2.029 8.279 3.195
O 0.990 4.544 5.450
O 2.335 2.383 4.071
O 2.335 2.383 6.828
O 1.379 4.838 1.817
O 0.380 7.885 1.817
O 4.430 1.414 1.817
O 0.829 7.695 5.450
O 4.879 1.225 5.450
O 3.880 4.272 5.450
O 2.925 6.727 0.438
O 2.925 6.727 3.195
O 4.269 4.566 1.817
O 7.288 0.830 4.071
O 7.288 0.830 6.828
O 7.079 3.130 1.817
O 7.019 3.613 5.450
O 6.156 5.896 4.071
O 6.156 5.896 6.828
CELL_PARAMETERS angstrom
10.519 0.000 0.000
-5.259 9.110 0.000
0.000 0.000 7.266
```